No. 1
A plane-wave DFT calculation with PBE was carried out for a geometry-optimized Sr2TaBi structure.

a = 7.1604 Å, b = 7.1604 Å, c = 7.1604 Å
α = 101.28°, β = 101.28°, γ = 127.51°
Closest atoms and distances in Å follow each position.
Sites, in units of the cell vectors:
Sr (0.1211, 0.6250, 0.9961)  2 Sr 3.17, 2 Ta 3.28, 2 Bi 3.33
Sr (0.3750, 0.3711, 0.4961)  2 Sr 3.17, 2 Ta 3.28, 2 Bi 3.33
Sr (0.6289, 0.1250, 0.0039)  2 Sr 3.17, 2 Ta 3.28, 2 Bi 3.33
Sr (0.8750, 0.8789, 0.5039)  2 Sr 3.17, 2 Ta 3.28, 2 Bi 3.33
Ta (0.0000, 0.0000, 0.0000)  2 Bi 3.17, 4 Sr 3.28
Ta (0.7500, 0.2500, 0.5000)  2 Bi 3.17, 4 Sr 3.28
Bi (0.2500, 0.7500, 0.5000)  2 Ta 3.17, 4 Sr 3.33
Bi (0.5000, 0.5000, 0.0000)  2 Ta 3.17, 4 Sr 3.33

Output
DFT formation energy ... 0.768 eV/atom
Space-group type ... No. 122

No. 2
A plane-wave DFT calculation with PBE was carried out for a geometry-optimized Ho2CdP3Rh12 structure.

a = 6.6876 Å, b = 6.6876 Å, c = 6.6876 Å
α = 83.57°, β = 83.57°, γ = 83.57°
Closest atoms and distances in Å follow each position.
Sites, in units of the cell vectors:
Ho (0.1271, 0.1271, 0.1271)  3 Rh 2.54
Ho (0.8729, 0.8729, 0.8729)  3 Rh 2.54
Cd (0.5000, 0.5000, 0.5000)  6 Rh 2.64
P (0.0000, 0.5000, 0.5000)  2 Rh 2.21
P (0.5000, 0.0000, 0.5000)  2 Rh 2.21
P (0.5000, 0.5000, 0.0000)  2 Rh 2.21
Rh (0.1291, 0.1291, 0.5958)  2 P 2.57, 1 Rh 2.70
Rh (0.1291, 0.5958, 0.1291)  2 P 2.57, 1 Rh 2.70
Rh (0.1640, 0.6767, 0.6767)  1 P 2.21
Rh (0.3233, 0.3233, 0.8360)  1 P 2.21
Rh (0.3233, 0.8360, 0.3233)  1 P 2.21
Rh (0.4042, 0.8709, 0.8709)  2 P 2.57, 1 Rh 2.70
Rh (0.5958, 0.1291, 0.1291)  2 P 2.57, 1 Rh 2.70
Rh (0.6767, 0.1640, 0.6767)  1 P 2.21
Rh (0.6767, 0.6767, 0.1640)  1 P 2.21
Rh (0.8360, 0.3233, 0.3233)  1 P 2.21
Rh (0.8709, 0.4042, 0.8709)  2 P 2.57, 1 Rh 2.70
Rh (0.8709, 0.8709, 0.4042)  2 P 2.57, 1 Rh 2.70

Output
DFT formation energy ... -0.275 eV/atom
Space-group type ... No. 166

No. 3
A plane-wave DFT calculation with PBE was carried out for a geometry-optimized YTi2FeRh structure.

a = 4.3664 Å, b = 4.3664 Å, c = 5.1978 Å
α = 90.00°, β = 90.00°, γ = 90.00°
Closest atoms and distances in Å follow each position.
Sites, in units of the cell vectors:
Y (0.0000, 0.0000, 0.0000)  2 Fe 2.60
Ti (0.0000, 0.5000, 0.5000)  2 Fe 2.18
Ti (0.5000, 0.0000, 0.5000)  2 Fe 2.18
Fe (0.0000, 0.0000, 0.5000)  4 Ti 2.18
Rh (0.5000, 0.5000, 0.0000)  4 Y 3.09, 8 Ti 3.39

Output
DFT formation energy ... 0.228 eV/atom
Space-group type ... No. 123

No. 4
A plane-wave DFT calculation with PBE was carried out for a geometry-optimized NdYHo2Er6 structure.

a = 8.7457 Å, b = 8.7457 Å, c = 9.4795 Å
α = 93.58°, β = 93.58°, γ = 117.95°
Closest atoms and distances in Å follow each position.
Sites, in units of the cell vectors:
Nd (0.0259, 0.9741, 0.7500)  4 Ho 3.37-3.41, 4 Er 3.56-3.69
Nd (0.9741, 0.0259, 0.2500)  4 Ho 3.37-3.41, 4 Er 3.56-3.69
Y (0.4093, 0.5907, 0.2500)  8 Er 3.41-3.81, 2 Ho 3.52
Y (0.5907, 0.4093, 0.7500)  8 Er 3.41-3.81, 2 Ho 3.52
Ho (0.1977, 0.3044, 0.5460)  6 Er 3.25-3.54, 2 Nd 3.37-3.41, 1 Y 3.52
Ho (0.3044, 0.1977, 0.0460)  6 Er 3.25-3.54, 2 Nd 3.37-3.41, 1 Y 3.52
Ho (0.6956, 0.8023, 0.9540)  6 Er 3.25-3.54, 2 Nd 3.37-3.41, 1 Y 3.52
Ho (0.8023, 0.6956, 0.4540)  6 Er 3.25-3.54, 2 Nd 3.37-3.41, 1 Y 3.52
Er (0.0204, 0.5666, 0.6819)  3 Er 3.18-3.53, 2 Ho 3.37-3.54, 1 Y 3.46, 1 Nd 3.56
Er (0.1238, 0.7500, 0.0574)  7 Er 3.37-3.69, 1 Ho 3.48, 1 Nd 3.69
Er (0.2500, 0.8762, 0.4426)  7 Er 3.37-3.69, 1 Ho 3.48, 1 Nd 3.69
Er (0.2908, 0.5088, 0.8816)  4 Er 3.18-3.48, 3 Ho 3.25-3.40, 2 Y 3.41-3.51
Er (0.4334, 0.9796, 0.8181)  3 Er 3.18-3.53, 2 Ho 3.37-3.54, 1 Y 3.46, 1 Nd 3.56
Er (0.4912, 0.7092, 0.6184)  4 Er 3.18-3.48, 3 Ho 3.25-3.40, 2 Y 3.41-3.51
Er (0.5088, 0.2908, 0.3816)  4 Er 3.18-3.48, 3 Ho 3.25-3.40, 2 Y 3.41-3.51
Er (0.5666, 0.0204, 0.1819)  3 Er 3.18-3.53, 2 Ho 3.37-3.54, 1 Y 3.46, 1 Nd 3.56
Er (0.7092, 0.4912, 0.1184)  4 Er 3.18-3.48, 3 Ho 3.25-3.40, 2 Y 3.41-3.51
Er (0.7500, 0.1238, 0.5574)  7 Er 3.37-3.69, 1 Ho 3.48, 1 Nd 3.69
Er (0.8762, 0.2500, 0.9426)  7 Er 3.37-3.69, 1 Ho 3.48, 1 Nd 3.69
Er (0.9796, 0.4334, 0.3181)  3 Er 3.18-3.53, 2 Ho 3.37-3.54, 1 Y 3.46, 1 Nd 3.56

Output
DFT formation energy ... 0.120 eV/atom
Space-group type ... No. 15

Copy entry 3 word for word.
A plane-wave DFT calculation with PBE was carried out for a geometry-optimized YTi2FeRh structure.

a = 4.3664 Å, b = 4.3664 Å, c = 5.1978 Å
α = 90.00°, β = 90.00°, γ = 90.00°
Closest atoms and distances in Å follow each position.
Sites, in units of the cell vectors:
Y (0.0000, 0.0000, 0.0000)  2 Fe 2.60
Ti (0.0000, 0.5000, 0.5000)  2 Fe 2.18
Ti (0.5000, 0.0000, 0.5000)  2 Fe 2.18
Fe (0.0000, 0.0000, 0.5000)  4 Ti 2.18
Rh (0.5000, 0.5000, 0.0000)  4 Y 3.09, 8 Ti 3.39

Output
DFT formation energy ... 0.228 eV/atom
Space-group type ... No. 123

Q: What is the formula in the fourth record?
A: NdYHo2Er6

Q: What is the formula in the fourth record?
A: NdYHo2Er6